(1)
LiPr3Ru PBE optimized geometry; mass density = 5.09 g/cm3; total energy = -5.064 eV per atom; magnetic moment = 0.000 μB/atom; E_form = 20 kJ/mol of formula units
1.0
5.5733 0.0000 0.0000
0.0000 5.5733 0.0000
0.0000 0.0000 5.5733
Li Pr Ru
1 3 1
direct
0.0000 0.0000 0.0000 Li
0.0000 0.5000 0.5000 Pr
0.5000 0.0000 0.5000 Pr
0.5000 0.5000 0.0000 Pr
0.5000 0.5000 0.5000 Ru

(2)
Ba4Os PBE optimized geometry; mass density = 4.99 g/cm3; total energy = -3.377 eV per atom; magnetic moment = 0.278 μB/atom; E_form = 196 kJ/mol of formula units
1.0
6.2658 0.0000 0.0000
0.0000 6.2658 0.0000
0.0000 0.0000 6.2658
Ba Os
4 1
direct
0.0000 0.0000 0.0000 Ba
0.0000 0.5000 0.5000 Ba
0.5000 0.0000 0.5000 Ba
0.5000 0.5000 0.0000 Ba
0.5000 0.5000 0.5000 Os

(3)
Ag2PRh PBE optimized geometry; mass density = 8.37 g/cm3; total energy = -4.606 eV per atom; magnetic moment = 0.000 μB/atom; E_form = 4 kJ/mol of formula units
1.0
3.6971 -1.4791 0.0000
3.6971 1.4791 0.0000
-0.8324 0.0000 6.3417
Ag P Rh
2 1 1
direct
0.0000 0.0000 0.0000 Ag
0.2457 0.2457 0.7064 Ag
0.7707 0.7707 0.2845 P
0.4938 0.4938 0.4060 Rh